# 1
Density functional theory data (GGA-PBE) for a relaxed structure of NbO.

a b c (Å): 2.913 2.876 5.788
angles (deg): 90.00 95.17 90.00
Fractional coordinates of all 4 atoms:
1 Nb 0.207 0.250 0.211
2 Nb 0.793 0.750 0.789
3 O 0.269 0.250 0.652
4 O 0.731 0.750 0.348

Properties
symmetry: No. 11
total magnetic moment: 0.00 μB per atom
formation energy without anion corrections: -1654.9 meV/atom
ρ: 7.49 g cm⁻³

=====

# 2
Density functional theory data (GGA-PBE) for a relaxed structure of Nb5O.

a b c (Å): 6.468 6.468 4.924
angles (deg): 90.00 90.00 151.16
Fractional coordinates of all 6 atoms:
1 Nb 0.000 0.000 0.000
2 Nb 0.136 0.864 0.500
3 Nb 0.332 0.668 0.000
4 Nb 0.668 0.332 0.000
5 Nb 0.864 0.136 0.500
6 O 0.500 0.500 0.500

Properties
symmetry: No. 65
total magnetic moment: 0.00 μB per atom
formation energy without anion corrections: -46.1 meV/atom
ρ: 8.03 g cm⁻³